Density functional theory data (PBE) for MgPaRuRh after structural relaxation.

Cell: 6.621 6.621 6.621 Å, 90.00 90.00 90.00°
Space group F-43m (No. 216)
Asymmetric unit:
Mg 0.000 0.000 0.000 [4 per cell]
Pa 0.000 0.000 0.500 [4 per cell]
Ru 0.250 0.250 0.750 [4 per cell]
Rh 0.250 0.250 0.250 [4 per cell]

Results
Energy relative to the elements   -0.522 eV/atom